ZnCrInSe4 | PBE | relaxed

## Properties
Raw formation energy = -12.5 kcal/mol of atoms

Lattice parameters (Å, degrees): 7.695 7.732 11.043 90.00 90.00 90.00
Space group Imma (No. 74)
Asymmetric unit:
Zn  0.000  0.250  0.122
Cr  0.250  0.250  0.750
In  0.000  0.000  0.500
Se  0.000  0.025  0.751
Se  0.248  0.250  0.519

Te3Br | PBE | relaxed

## Properties
Raw formation energy = 6.6 kcal/mol of atoms
Distance to the lowest polymorph of the same formula = 388.7 meV per atom

Lattice parameters (Å, degrees): 5.234 5.234 8.136 90.00 90.00 90.00
Space group I4/mmm (No. 139)
Asymmetric unit:
Te  0.000  0.000  0.000
Te  0.000  0.500  0.250
Br  0.000  0.000  0.500

Ag4SeBr2Cl | PBE | relaxed

## Properties
Raw formation energy = -5.4 kcal/mol of atoms

Lattice parameters (Å, degrees): 7.619 7.871 12.905 90.00 90.00 90.00
Space group Imma (No. 74)
Asymmetric unit:
Ag  0.000  0.008  0.244
Ag  0.238  0.250  0.462
Se  0.250  0.250  0.250
Br  0.000  0.000  0.000
Br  0.250  0.250  0.750
Cl  0.000  0.000  0.500

Si2AsSe | PBE | relaxed

## Properties
Raw formation energy = 9.6 kcal/mol of atoms
Distance to the lowest polymorph of the same formula = 431.1 meV per atom

Lattice parameters (Å, degrees): 3.075 3.075 8.429 90.00 90.00 90.00
Space group P4mm (No. 99)
Asymmetric unit:
Si  0.000  0.000  0.000
Si  0.500  0.500  0.225
As  0.000  0.000  0.411
Se  0.500  0.500  0.828

CaAg2P | PBE | relaxed

## Properties
ΔE_f = -121.8 meV/atom

Lattice parameters (Å, degrees): 4.4680 4.4680 14.9544 90.00 90.00 120.00
Space group R-3m (No. 166, hexagonal axes)
Asymmetric unit:
Ca  0.0000  0.0000  0.0000
Ag  0.0000  0.0000  0.2159
P  0.0000  0.0000  0.5000

BaMgCl2 | PBE | relaxed

## Properties
Raw formation energy = -31.5 kcal/mol of atoms
Distance to the lowest polymorph of the same formula = 140.3 meV per atom

Lattice parameters (Å, degrees): 9.040 9.040 11.949 90.00 90.00 90.00
Space group I-42d (No. 122)
Asymmetric unit:
Ba  0.000  0.000  0.000
Mg  0.000  0.000  0.500
Cl  0.131  0.250  0.125